No. 1
A relaxed structure of Ca3Pa3IrN8. Source: the Alexandria database, functional PBE-GGA.

Computed properties:
Its crystal system is trigonal. The formation energy without anion corrections comes out at -1120 meV per atom.

```
data_Ca3Pa3IrN8
_cell_length_a 6.8716
_cell_length_b 6.8716
_cell_length_c 16.9900
_cell_angle_alpha 90.00
_cell_angle_beta 90.00
_cell_angle_gamma 120.00
_space_group_name_H-M_alt 'R -3 m'
_space_group_IT_number 166
_space_group_name_Hall '-R 3 2"'
loop_
_atom_site_label
_atom_site_fract_x
_atom_site_fract_y
_atom_site_fract_z
Ca1 0.0000 0.5000 0.0000
Pa1 0.0000 0.5000 0.5000
Ir1 0.0000 0.0000 0.5000
N1 0.0000 0.0000 0.2420
N2 0.0035 0.5018 0.2338
```

***

No. 2
A relaxed structure of CaPa2IrN4. Source: the Alexandria database, functional PBE-GGA.

Computed properties:
Its crystal system is orthorhombic. The formation energy without anion corrections comes out at -1108 meV per atom.

```
data_CaPa2IrN4
_cell_length_a 3.4746
_cell_length_b 11.7087
_cell_length_c 11.9717
_cell_angle_alpha 90.00
_cell_angle_beta 90.00
_cell_angle_gamma 90.00
_space_group_name_H-M_alt 'C m c m'
_space_group_IT_number 63
_space_group_name_Hall '-C 2c 2'
loop_
_atom_site_label
_atom_site_fract_x
_atom_site_fract_y
_atom_site_fract_z
Ca1 0.0000 0.1001 0.2500
Pa1 0.0000 0.3686 0.0596
Ir1 0.0000 0.1610 0.7500
N1 0.0000 0.0000 0.0000
N2 0.0000 0.2660 0.5984
N3 0.0000 0.4475 0.2500
```

***

No. 3
A relaxed structure of Ca2IrPtN. Source: the Alexandria database, functional PBE-GGA.

Computed properties:
Its crystal system is tetragonal. The formation energy without anion corrections comes out at -686 meV per atom.

```
data_Ca2IrPtN
_cell_length_a 5.0659
_cell_length_b 5.0659
_cell_length_c 3.7242
_cell_angle_alpha 90.00
_cell_angle_beta 90.00
_cell_angle_gamma 90.00
_space_group_name_H-M_alt 'P 4/m m m'
_space_group_IT_number 123
_space_group_name_Hall '-P 4 2'
loop_
_atom_site_label
_atom_site_fract_x
_atom_site_fract_y
_atom_site_fract_z
Ca1 0.0000 0.5000 0.0000
Ir1 0.0000 0.0000 0.5000
Pt1 0.5000 0.5000 0.5000
N1 0.0000 0.0000 0.0000
```

***

No. 4
A relaxed structure of Ca3Pu3IrN8. Source: the Alexandria database, functional PBE-GGA.

Computed properties:
Its crystal system is trigonal. The formation energy without anion corrections comes out at -830 meV per atom.

```
data_Ca3Pu3IrN8
_cell_length_a 6.6882
_cell_length_b 6.6882
_cell_length_c 16.9245
_cell_angle_alpha 90.00
_cell_angle_beta 90.00
_cell_angle_gamma 120.00
_space_group_name_H-M_alt 'R -3 m'
_space_group_IT_number 166
_space_group_name_Hall '-R 3 2"'
loop_
_atom_site_label
_atom_site_fract_x
_atom_site_fract_y
_atom_site_fract_z
Ca1 0.0000 0.5000 0.0000
Pu1 0.0000 0.5000 0.5000
Ir1 0.0000 0.0000 0.5000
N1 0.0000 0.0000 0.2411
N2 0.0059 0.5030 0.2335
```

***

No. 5
A relaxed structure of CaIrSN2. Source: the Alexandria database, functional PBE-GGA.

Computed properties:
Its crystal system is tetragonal. The polymorph energy (0 for the lowest one) is 0.00 eV per formula unit. The formation energy without anion corrections comes out at -52 meV per atom.

```
data_CaIrSN2
_cell_length_a 3.8515
_cell_length_b 3.8515
_cell_length_c 5.2782
_cell_angle_alpha 90.00
_cell_angle_beta 90.00
_cell_angle_gamma 90.00
_space_group_name_H-M_alt 'P 4/m m m'
_space_group_IT_number 123
_space_group_name_Hall '-P 4 2'
loop_
_atom_site_label
_atom_site_fract_x
_atom_site_fract_y
_atom_site_fract_z
Ca1 0.0000 0.0000 0.0000
Ir1 0.5000 0.5000 0.5000
S1 0.5000 0.5000 0.0000
N1 0.0000 0.5000 0.5000
```

***

No. 6
A relaxed structure of CaIrSN2. Source: the Alexandria database, functional PBE-GGA.

Computed properties:
Its crystal system is tetragonal. The polymorph energy (0 for the lowest one) is 10.99 eV per formula unit. The formation energy without anion corrections comes out at 2147 meV per atom.

```
data_CaIrSN2
_cell_length_a 4.2803
_cell_length_b 4.2803
_cell_length_c 5.5284
_cell_angle_alpha 90.00
_cell_angle_beta 90.00
_cell_angle_gamma 90.00
_space_group_name_H-M_alt 'P 4/m m m'
_space_group_IT_number 123
_space_group_name_Hall '-P 4 2'
loop_
_atom_site_label
_atom_site_fract_x
_atom_site_fract_y
_atom_site_fract_z
Ca1 0.0000 0.0000 0.0000
Ir1 0.5000 0.5000 0.5000
S1 0.0000 0.0000 0.5000
N1 0.0000 0.5000 0.0000
```